Record 1
## TlCrAg2 (PBE-GGA)

Data for a relaxed structure of TlCrAg2.

Output
DFT formation energy (meV per atom): 384

Cell and atoms, written as extended XYZ:
```
4
Lattice="5.0724 -0.0168 0.0141 4.0519 3.0514 0.0141 1.0706 0.3561 5.0704" Properties=species:S:1:pos:R:3 pbc="T T T"
Tl 2.5361 0.8435 1.3020
Ag 1.0888 0.3621 5.0004
Ag 7.6634 2.5487 3.8230
Cr 5.0746 1.6877 2.5931
```


Record 2
## CaPuSi2 (PBE-GGA)

Data for a relaxed structure of CaPuSi2.

Output
Energy relative to the elements, uncorrected (eV/f.u.): -1.8

Cell and atoms, written as extended XYZ:
```
8
Lattice="-2.7559 2.0388 1.7296 -1.2987 -4.5554 3.3004 5.3999 2.5319 5.6194" Properties=species:S:1:pos:R:3 pbc="T T T"
Si -0.0061 -1.8166 6.3936
Si -0.2875 -1.5544 1.3741
Si 2.0480 -1.5666 5.1098
Si 3.6851 2.9261 6.6843
Pu -0.1363 -3.4311 3.8272
Pu 3.4811 1.0529 4.3054
Ca 2.2240 0.1870 7.5851
Ca -0.1152 0.1862 3.8588
```


Record 3
## BOsW3 (PBE-GGA)

Data for a relaxed structure of BOsW3.

Output
DFT formation energy (meV per atom): 2837
Energy relative to the lowest polymorph listed for this composition (meV/atom): 2567

Cell and atoms, written as extended XYZ:
```
5
Lattice="4.7388 0.0000 0.0000 0.0000 4.7388 0.0000 0.0000 0.0000 4.7388" Properties=species:S:1:pos:R:3 pbc="T T T"
B 2.3694 2.3694 2.3694
W 0.0000 0.0000 2.3694
W 2.3694 0.0000 0.0000
W 0.0000 2.3694 0.0000
Os 0.0000 0.0000 0.0000
```